Entry 1:
DFT (PBE-GGA) results for a relaxed NdHo2As crystal.

The space group is R-3m (No. 166, hexagonal axes) and the conventional cell measures 3.8512, 3.8512 and 28.3993 Å, with angles of 90.00, 90.00 and 120.00 degrees. The inequivalent atoms are Nd at (0.0000, 0.0000, 0.0000), Ho at (0.0000, 0.0000, 0.2274) and As at (0.0000, 0.0000, 0.5000).

Its crystal system is trigonal. The value obtained for the formation energy is -619 meV per atom.

=====

Entry 2:
DFT (PBE-GGA) results for a relaxed Y2SnBPt6 crystal.

The space group is P-1 (No. 2) and the conventional cell measures 5.6933, 5.7135 and 7.4330 Å, with angles of 68.50, 67.58 and 60.12 degrees. The inequivalent atoms are Y at (0.2138, 0.2396, 0.3357), Sn at (0.5000, 0.5000, 0.5000), B at (0.0000, 0.0000, 0.0000), Pt at (0.2354, 0.6945, 0.8312), Pt at (0.2443, 0.2127, 0.8023) and Pt at (0.2643, 0.7881, 0.1946).

Its crystal system is triclinic. The value obtained for the formation energy is -819 meV per atom.

=====

Entry 3:
DFT (PBE-GGA) results for a relaxed Pm3Cu3Rh2 crystal.

The space group is Cmcm (No. 63) and the conventional cell measures 4.1467, 10.5605 and 15.4451 Å, with angles of 90.00, 90.00 and 90.00 degrees. The inequivalent atoms are Pm at (0.0000, 0.1056, 0.2500), Pm at (0.0000, 0.3745, 0.0880), Cu at (0.0000, 0.0857, 0.0517), Cu at (0.0000, 0.1750, 0.7500) and Rh at (0.0000, 0.3196, 0.6191).

Its crystal system is orthorhombic. The value obtained for the formation energy is -420 meV per atom.

=====

Entry 4:
DFT (PBE-GGA) results for a relaxed CsFe2PbI8 crystal.

The space group is C2/m (No. 12) and the conventional cell measures 12.3963, 8.5300 and 11.3125 Å, with angles of 90.00, 99.33 and 90.00 degrees. The inequivalent atoms are Cs at (0.0000, 0.0000, 0.0000), Fe at (0.1042, 0.5000, 0.2849), Pb at (0.0000, 0.0000, 0.5000), I at (0.0271, 0.2586, 0.7168), I at (0.1853, 0.5000, 0.0919) and I at (0.2366, 0.5000, 0.4857).

Its crystal system is monoclinic. The uncorrected formation energy comes out at -0.50 eV per atom.

=====

Entry 5:
DFT (PBE-GGA) results for a relaxed Ta3ReB crystal.

The space group is Pm-3m (No. 221) and the conventional cell measures 4.8240, 4.8240 and 4.8240 Å, with angles of 90.00, 90.00 and 90.00 degrees. The inequivalent atoms are Ta at (0.0000, 0.0000, 0.5000), Re at (0.0000, 0.0000, 0.0000) and B at (0.5000, 0.5000, 0.5000).

Its crystal system is cubic. The value obtained for the formation energy is 2091 meV per atom.

=====

Entry 6:
DFT (PBE-GGA) results for a relaxed CoCuRh2 crystal.

The space group is Cmm2 (No. 35) and the conventional cell measures 2.7018, 4.5023 and 8.7993 Å, with angles of 90.00, 90.00 and 90.00 degrees. The inequivalent atoms are Co at (0.0000, 0.0000, 0.0000), Cu at (0.0000, 0.5000, 0.2378), Rh at (0.0000, 0.0000, 0.4908) and Rh at (0.0000, 0.5000, 0.7571).

Its crystal system is orthorhombic. The value obtained for the formation energy is 233 meV per atom.

=====

Entry 7:
DFT (PBE-GGA) results for a relaxed Mg2TePt2 crystal.

The space group is I4/mmm (No. 139) and the conventional cell measures 4.0727, 4.0727 and 12.1008 Å, with angles of 90.00, 90.00 and 90.00 degrees. The inequivalent atoms are Mg at (0.0000, 0.5000, 0.2500), Te at (0.0000, 0.0000, 0.0000) and Pt at (0.0000, 0.0000, 0.3904).

Its crystal system is tetragonal. The uncorrected formation energy comes out at -0.35 eV per atom.

=====

Entry 8:
DFT (PBE-GGA) results for a relaxed Zr2InIrC crystal.

The space group is P4/mmm (No. 123) and the conventional cell measures 5.3137, 5.3137 and 3.8090 Å, with angles of 90.00, 90.00 and 90.00 degrees. The inequivalent atoms are Zr at (0.0000, 0.5000, 0.0000), In at (0.0000, 0.0000, 0.0000), Ir at (0.5000, 0.5000, 0.5000) and C at (0.0000, 0.0000, 0.5000).

Its crystal system is tetragonal. The value obtained for the formation energy is 1725 meV per atom.

=====

| no. | M_tot (μB per atom) |
| --- | --- |
| 1 | 0.000 |
| 2 | 0.000 |
| 3 | 0.000 |
| 4 | 0.750 |
| 5 | 0.000 |
| 6 | 0.518 |
| 7 | 0.000 |
| 8 | 0.000 |